The following is a DFT calculation (PBE-GGA) of Dy6Hg3Rh after structural relaxation.

Properties
Space-group type = R-3c
Crystal system = trigonal

Cell and atoms, written as POSCAR:
```
Dy6Hg3Rh
1.0
6.0398 3.4871 4.5303
-6.0398 3.4871 4.5303
0.0000 -6.9742 4.5303
Dy Hg Rh
12 6 2
Cartesian
-5.2851 -1.4597 7.4617
-1.3784 -5.3069 6.1292
-1.3784 -1.6673 5.1965
-3.9067 3.8472 6.1292
-0.7547 2.0274 5.1965
-2.1332 0.3601 8.3943
2.1332 -0.3601 5.1965
0.7547 -2.0274 8.3943
3.9067 -3.8472 7.4617
1.3784 1.6673 8.3943
1.3784 5.3069 7.4617
5.2851 1.4597 6.1292
-3.6604 0.6343 5.6629
-2.3795 -2.8528 7.9280
1.2809 -3.4871 5.6629
-1.2809 3.4871 7.9280
2.3795 2.8528 5.6629
3.6603 -0.6343 7.9280
0.0000 0.0000 0.0000
0.0000 0.0000 6.7954
```

The following is a DFT calculation (PBE-GGA) of Dy4HgRh3 after structural relaxation.

Properties
Space-group type = P4/mmm
Crystal system = tetragonal

Cell and atoms, written as POSCAR:
```
Dy4HgRh3
1.0
4.9057 0.0000 0.0000
0.0000 4.9057 0.0000
0.0000 0.0000 7.1247
Dy Hg Rh
4 1 3
Cartesian
0.0000 2.4529 1.6958
0.0000 2.4529 5.4289
2.4529 0.0000 1.6958
2.4529 0.0000 5.4289
0.0000 0.0000 3.5624
0.0000 0.0000 0.0000
2.4529 2.4529 0.0000
2.4529 2.4529 3.5624
```

The following is a DFT calculation (PBE-GGA) of Dy6HgRh5 after structural relaxation.

Properties
Space-group type = P2/m
Crystal system = monoclinic

Cell and atoms, written as POSCAR:
```
Dy6HgRh5
1.0
4.8769 0.0000 0.0000
0.0000 7.0405 0.0000
-2.4208 0.0000 7.3264
Dy Hg Rh
6 1 5
Cartesian
0.0000 1.6700 0.0000
0.0000 5.3705 0.0000
0.0115 1.7348 4.8127
0.0115 5.3057 4.8127
2.4446 1.7348 2.5137
2.4446 5.3057 2.5137
2.4384 3.5202 0.0000
0.0053 3.5202 2.4302
0.0047 0.0000 2.4499
2.4384 0.0000 0.0000
2.4514 0.0000 4.8765
2.4508 3.5202 4.8962
```

The following is a DFT calculation (PBE-GGA) of Dy6Hg5Rh after structural relaxation.

Properties
Space-group type = Cmmm
Crystal system = orthorhombic

Cell and atoms, written as POSCAR:
```
Dy6Hg5Rh
1.0
2.5946 -7.7657 0.0000
2.5946 7.7657 0.0000
0.0000 0.0000 7.3536
Dy Hg Rh
6 5 1
Cartesian
0.0000 0.0000 1.7120
0.0000 0.0000 5.6416
2.5946 2.4474 1.7763
2.5946 2.4474 5.5774
2.5946 -2.4474 1.7763
2.5946 -2.4474 5.5774
2.5946 5.1308 3.6768
2.5946 5.0379 0.0000
2.5946 0.0000 3.6768
2.5946 -5.0379 0.0000
2.5946 -5.1308 3.6768
2.5946 0.0000 0.0000
```

The following is a DFT calculation (PBE-GGA) of SmDyHgRh after structural relaxation.

Properties
Space-group type = F-43m
Crystal system = cubic

Cell and atoms, written as POSCAR:
```
SmDyHgRh
1.0
0.0000 3.6086 3.6086
3.6086 0.0000 3.6086
3.6086 3.6086 0.0000
Sm Dy Hg Rh
1 1 1 1
Cartesian
0.0000 0.0000 0.0000
3.6086 3.6086 3.6086
5.4129 5.4129 5.4129
1.8043 1.8043 1.8043
```

The following is a DFT calculation (PBE-GGA) of SrDyHgRh after structural relaxation.

Properties
Space-group type = F-43m
Crystal system = cubic

Cell and atoms, written as POSCAR:
```
SrDyHgRh
1.0
0.0000 3.6717 3.6717
3.6717 0.0000 3.6717
3.6717 3.6717 0.0000
Sr Dy Hg Rh
1 1 1 1
Cartesian
0.0000 0.0000 0.0000
3.6717 3.6717 3.6717
1.8359 1.8359 1.8359
5.5076 5.5076 5.5076
```

Number 1: uncorrected energy -3.929 eV/atom, N(E_F) 9.23 states/eV/f.u.. Number 2: uncorrected energy -5.830 eV/atom, N(E_F) 7.30 states/eV/f.u.. Number 3: uncorrected energy -6.174 eV/atom, N(E_F) 7.06 states/eV/f.u.. Number 4: uncorrected energy -3.588 eV/atom, N(E_F) 6.89 states/eV/f.u.. Number 5: uncorrected energy -4.824 eV/atom, N(E_F) 2.33 states/eV/f.u.. Number 6: uncorrected energy -3.868 eV/atom, N(E_F) 3.22 states/eV/f.u..